(1)
Computed, not measured: a relaxed structure of La5Tb6Sm2 at the PBE-GGA level of DFT. Values from VASP.

```
&SYSTEM
  ibrav = 0, nat = 26, ntyp = 3
/
ATOMIC_SPECIES
La 138.91 La.upf
Tb 158.93 Tb.upf
Sm 150.36 Sm.upf
ATOMIC_POSITIONS angstrom
La 1.8256 3.5336 9.4258
La 1.8256 2.3696 19.8654
La 1.8256 5.9031 0.0000
La 1.8256 4.9831 15.1701
La 1.8256 0.0000 10.4397
La 1.8256 6.8232 5.7092
La 1.8256 8.2727 11.4536
La 1.8256 0.9201 4.7305
La 1.8256 10.8862 16.1488
La 1.8256 9.4367 1.0139
Tb 1.8256 2.1077 13.3027
Tb 0.0000 5.1854 12.1142
Tb 0.0000 6.8305 2.7489
Tb 1.8256 9.6986 7.5766
Tb 0.0000 0.9274 7.6907
Tb 0.0000 0.7178 1.6746
Tb 0.0000 4.9758 18.1304
Tb 0.0000 6.6209 8.7651
Tb 1.8256 3.7955 2.8631
Tb 0.0000 11.0885 19.2048
Tb 0.0000 10.8789 13.1886
Tb 1.8256 8.0108 18.0162
Sm 0.0000 7.9757 14.8637
Sm 0.0000 2.0726 16.4552
Sm 0.0000 3.8305 6.0156
Sm 0.0000 9.7337 4.4241
CELL_PARAMETERS angstrom
3.6512 0.0000 0.0000
0.0000 11.8063 0.0000
0.0000 0.0000 20.8793
```

M_tot: 0.00 Bohr magnetons per cell
ΔE_f: 0.090 eV per atom



(2)
Computed, not measured: a relaxed structure of YbGa4Ge2 at the PBE-GGA level of DFT. Values from VASP.

```
&SYSTEM
  ibrav = 0, nat = 14, ntyp = 3
/
ATOMIC_SPECIES
Ga 69.72 Ga.upf
Yb 173.04 Yb.upf
Ge 72.64 Ge.upf
ATOMIC_POSITIONS angstrom
Ga 2.8218 -3.3600 -0.4236
Ga 6.1334 -3.3850 2.1181
Ga 12.3742 -6.8293 4.2733
Ga 1.0414 -5.5829 1.1793
Ga 2.0062 -1.1072 0.6928
Ga 2.1111 -1.0689 5.2958
Ga 8.2470 -4.5515 2.8480
Ga 2.0131 -2.9275 2.6094
Yb -0.1191 -0.7944 3.1993
Yb -0.2496 -3.2677 -0.3754
Ge 4.6729 -2.0621 3.9015
Ge -3.2281 -3.0009 -0.4512
Ge 3.8197 -4.6918 2.1694
Ge -2.3748 -0.3711 1.2809
CELL_PARAMETERS angstrom
6.1103 -5.9176 -1.4195
6.3713 -0.9710 5.7299
-8.6100 0.4863 -0.0221
```

M_tot: 0.00 Bohr magnetons per cell
ΔE_f: -0.214 eV per atom



(3)
Computed, not measured: a relaxed structure of LaTbIr at the PBE-GGA level of DFT. Values from VASP.

```
&SYSTEM
  ibrav = 0, nat = 3, ntyp = 3
/
ATOMIC_SPECIES
La 138.91 La.upf
Tb 158.93 Tb.upf
Ir 192.22 Ir.upf
ATOMIC_POSITIONS angstrom
La 4.9249 2.0968 1.2106
Tb 1.4319 0.0000 2.4212
Ir 0.0371 0.0000 0.0000
CELL_PARAMETERS angstrom
6.3939 0.0000 0.0000
0.0000 4.1936 0.0000
0.0000 -2.0968 3.6318
```

energy above the lowest structure with this stoichiometry: 6.6 kJ/mol of atoms
M_tot: 0.00 Bohr magnetons per cell
ΔE_f: -0.577 eV per atom



(4)
Computed, not measured: a relaxed structure of CaTlRuW2 at the PBE-GGA level of DFT. Values from VASP.

```
&SYSTEM
  ibrav = 0, nat = 5, ntyp = 4
/
ATOMIC_SPECIES
W 183.84 W.upf
Tl 204.38 Tl.upf
Ca 40.08 Ca.upf
Ru 101.07 Ru.upf
ATOMIC_POSITIONS angstrom
W 0.0455 -2.5059 0.3231
W -2.4885 -0.1004 -0.4284
Tl 0.0000 0.0000 0.0000
Ca -2.0090 -2.9142 -2.5539
Ru 0.4339 -0.3078 -2.4486
CELL_PARAMETERS angstrom
-4.9770 -0.2008 -0.8568
0.8679 -0.6157 -4.8972
0.0910 -5.0118 0.6462
```

M_tot: 0.01 Bohr magnetons per cell
ΔE_f: 2.446 eV per atom



(5)
Computed, not measured: a relaxed structure of HoSnAu2 at the PBE-GGA level of DFT. Values from VASP.

```
&SYSTEM
  ibrav = 0, nat = 4, ntyp = 3
/
ATOMIC_SPECIES
Ho 164.93 Ho.upf
Au 196.97 Au.upf
Sn 118.71 Sn.upf
ATOMIC_POSITIONS angstrom
Ho -2.7054 -2.4351 1.2662
Au -2.2783 0.2488 -0.2072
Au -0.2776 -0.7430 2.1602
Sn -0.1495 -1.9409 -0.6868
CELL_PARAMETERS angstrom
-0.2991 -3.8819 -1.3736
-0.5552 -1.4860 4.3203
-4.5566 0.4977 -0.4143
```

M_tot: 0.00 Bohr magnetons per cell
ΔE_f: -0.596 eV per atom



(6)
Computed, not measured: a relaxed structure of Mg13Tl2 at the PBE-GGA level of DFT. Values from VASP.

```
&SYSTEM
  ibrav = 0, nat = 15, ntyp = 2
/
ATOMIC_SPECIES
Mg 24.30 Mg.upf
Tl 204.38 Tl.upf
ATOMIC_POSITIONS angstrom
Mg 1.4849 -6.9908 1.6950
Mg 0.5504 -4.4446 -3.2503
Mg -1.2602 -2.2189 -1.8918
Mg -1.1597 -6.7835 -2.0166
Mg 0.0000 0.0000 0.0000
Mg 0.9522 -7.0548 4.8452
Mg 2.7109 -4.7624 3.5690
Mg 0.1225 -4.5490 -0.1163
Mg -0.4305 -4.7247 3.0696
Mg -1.7929 -2.2829 1.2583
Mg 0.8517 -2.4902 4.9700
Mg -0.8584 -4.8291 6.2036
Mg -3.0189 -4.5113 -0.6157
Tl 1.2840 -2.3124 1.8384
Tl -1.5920 -6.9613 1.1149
CELL_PARAMETERS angstrom
-4.9037 -2.2545 0.7683
1.1024 -4.3973 -6.4508
3.4933 -2.6219 8.6359
```

energy above the lowest structure with this stoichiometry: 0.0 kJ/mol of atoms
M_tot: 0.00 Bohr magnetons per cell
ΔE_f: -0.005 eV per atom



(7)
Computed, not measured: a relaxed structure of GdPu2Rh at the PBE-GGA level of DFT. Values from VASP.

```
&SYSTEM
  ibrav = 0, nat = 4, ntyp = 3
/
ATOMIC_SPECIES
Rh 102.91 Rh.upf
Gd 157.25 Gd.upf
Pu 244.00 Pu.upf
ATOMIC_POSITIONS angstrom
Rh 3.5408 2.0443 4.9605
Gd 0.0000 0.0000 0.0000
Pu 1.7704 1.0222 6.8550
Pu 5.3113 3.0665 3.0661
CELL_PARAMETERS angstrom
3.5408 0.0000 0.0000
1.7704 3.0665 0.0000
1.7704 1.0222 9.9211
```

M_tot: 3.92 Bohr magnetons per cell
ΔE_f: 0.090 eV per atom



(8)
Computed, not measured: a relaxed structure of LiCeAsAu at the PBE-GGA level of DFT. Values from VASP.

```
&SYSTEM
  ibrav = 0, nat = 4, ntyp = 4
/
ATOMIC_SPECIES
Ce 140.12 Ce.upf
Li 6.94 Li.upf
Au 196.97 Au.upf
As 74.92 As.upf
ATOMIC_POSITIONS angstrom
Ce 4.9508 2.8584 2.0212
Li 0.0000 0.0000 0.0000
Au 2.4754 1.4292 1.0106
As 7.4262 4.2875 3.0318
CELL_PARAMETERS angstrom
4.9508 0.0000 0.0000
2.4754 4.2875 0.0000
2.4754 1.4292 4.0423
```

M_tot: 0.94 Bohr magnetons per cell
ΔE_f: -0.791 eV per atom



- What is the ΔE_f in the second record?
  -0.214 eV per atom